TmGeH | PBE-GGA | relaxed

a = 3.6954 Å, b = 3.6954 Å, c = 7.7208 Å
α = 103.85°, β = 103.85°, γ = 90.00°
Fractional coordinates of all 6 atoms:
Tm1 0.1543 0.1543 0.3085
Tm2 0.8457 0.8457 0.6915
Ge1 0.5000 0.0000 0.0000
Ge2 0.0000 0.5000 0.0000
H1 0.3073 0.3073 0.6145
H2 0.6927 0.6927 0.3855

## Properties
Energy above the most stable polymorph in this dataset, meV per atom: 323
Raw total energy, eV/cell: -27.097

---

TmGeH | PBE-GGA | relaxed

a = 4.6427 Å, b = 3.5099 Å, c = 3.5099 Å
α = 120.00°, β = 90.00°, γ = 90.00°
Fractional coordinates of all 3 atoms:
H1 0.1668 0.3333 0.6667
Ge1 0.6666 0.6667 0.3333
Tm1 0.1666 0.0000 0.0000

## Properties
Energy above the most stable polymorph in this dataset, meV per atom: 168
Raw total energy, eV/cell: -14.016

---

Tm3GeH | PBE-GGA | relaxed

a = 3.8659 Å, b = 6.3074 Å, c = 8.7976 Å
α = 100.53°, β = 90.00°, γ = 90.00°
Fractional coordinates of all 10 atoms:
Ge1 0.2500 0.2853 0.1714
Ge2 0.7500 0.7147 0.8286
Tm1 0.7500 0.2262 0.9313
Tm2 0.7500 0.0967 0.3656
Tm3 0.2500 0.4151 0.6528
Tm4 0.2500 0.9033 0.6344
Tm5 0.2500 0.7738 0.0687
Tm6 0.7500 0.5849 0.3472
H1 0.2500 0.8337 0.3460
H2 0.7500 0.1663 0.6540

## Properties
Raw total energy, eV/cell: -47.284

---

UGeH | PBE-GGA | relaxed

a = 4.0759 Å, b = 4.0436 Å, c = 5.8856 Å
α = 90.00°, β = 110.28°, γ = 90.00°
Fractional coordinates of all 6 atoms:
Ge1 0.6846 0.6155 0.8331
Ge2 0.5454 0.1155 0.5525
U1 0.9605 0.6155 0.3836
U2 0.2696 0.1155 0.0021
H1 0.8628 0.1154 0.1880
H2 0.3673 0.6155 0.1976

## Properties
Energy above the most stable polymorph in this dataset, meV per atom: 0
Raw total energy, eV/cell: -40.568

---

UGeH | PBE-GGA | relaxed

a = 3.4943 Å, b = 3.4944 Å, c = 11.5528 Å
α = 97.54°, β = 97.54°, γ = 90.01°
Fractional coordinates of all 6 atoms:
H1 0.9826 0.9826 0.4668
H2 0.0174 0.0174 0.5332
Ge1 0.8372 0.8372 0.2011
Ge2 0.1628 0.1628 0.7989
U1 0.7279 0.7279 0.9493
U2 0.2721 0.2721 0.0507

## Properties
Energy above the most stable polymorph in this dataset, meV per atom: 478
Raw total energy, eV/cell: -37.702

---

U4Ge2H | PBE-GGA | relaxed

a = 4.2521 Å, b = 4.2521 Å, c = 8.1293 Å
α = 74.84°, β = 74.84°, γ = 90.00°
Fractional coordinates of all 7 atoms:
H1 0.0000 0.0000 0.0000
U1 0.8364 0.8364 0.3271
U2 0.5000 0.0000 0.0000
U3 0.0000 0.5000 0.0000
U4 0.1636 0.1636 0.6729
Ge1 0.3579 0.3579 0.2842
Ge2 0.6421 0.6421 0.7158

## Properties
Raw total energy, eV/cell: -57.787

---

U3GeH | PBE-GGA | relaxed

a = 6.2162 Å, b = 6.2162 Å, c = 6.2162 Å
α = 60.00°, β = 60.00°, γ = 60.00°
Fractional coordinates of all 10 atoms:
H1 0.0057 0.0057 0.0057
H2 0.5057 0.5057 0.5057
U1 0.7557 0.2557 0.2557
U2 0.2557 0.7557 0.7557
U3 0.7557 0.2557 0.7557
U4 0.2557 0.2557 0.7557
U5 0.2557 0.7557 0.2557
U6 0.7557 0.7557 0.2557
Ge1 0.2557 0.2557 0.2557
Ge2 0.7557 0.7557 0.7557

## Properties
Raw total energy, eV/cell: -84.501

---

U2GeH2 | PBE-GGA | relaxed

a = 5.2563 Å, b = 5.5235 Å, c = 6.2653 Å
α = 78.57°, β = 65.21°, γ = 61.80°
Fractional coordinates of all 10 atoms:
U1 0.4312 0.6402 0.7496
U2 0.5688 0.3598 0.2504
U3 0.1807 0.1404 0.2504
U4 0.8193 0.8596 0.7496
Ge1 0.1250 0.2498 0.7504
Ge2 0.8750 0.7502 0.2496
H1 0.2722 0.7501 0.4554
H2 0.5228 0.2499 0.9547
H3 0.7278 0.2499 0.5446
H4 0.4772 0.7501 0.0453

## Properties
Raw total energy, eV/cell: -70.121

---

U2GeH3 | PBE-GGA | relaxed

a = 3.9856 Å, b = 7.1102 Å, c = 7.1095 Å
α = 52.25°, β = 73.67°, γ = 73.67°
Fractional coordinates of all 12 atoms:
H1 0.3190 0.4892 0.8727
H2 0.6810 0.5108 0.1273
H3 0.6810 0.1274 0.5107
H4 0.3190 0.8726 0.4893
H5 0.0000 0.3548 0.6452
H6 0.0000 0.6452 0.3548
U1 0.5000 0.2089 0.7911
U2 0.5000 0.7911 0.2089
U3 0.1793 0.3205 0.3204
U4 0.8207 0.6795 0.6796
Ge1 0.1389 0.8613 0.8612
Ge2 0.8611 0.1387 0.1388

## Properties
Raw total energy, eV/cell: -76.921

---

U3Ge2H2 | PBE-GGA | relaxed

a = 2.9561 Å, b = 5.7260 Å, c = 8.3406 Å
α = 123.91°, β = 90.00°, γ = 104.96°
Fractional coordinates of all 7 atoms:
U1 0.5000 0.0000 0.0000
U2 0.3800 0.7600 0.5122
U3 0.6200 0.2400 0.4878
Ge1 0.8412 0.6824 0.1687
Ge2 0.1588 0.3176 0.8313
H1 0.8680 0.7359 0.7312
H2 0.1320 0.2641 0.2688

## Properties
Raw total energy, eV/cell: -50.143

---

UGe2H | PBE-GGA | relaxed

a = 4.5106 Å, b = 4.5106 Å, c = 6.4844 Å
α = 69.65°, β = 69.65°, γ = 60.00°
Fractional coordinates of all 4 atoms:
Ge1 0.9013 0.9013 0.2961
Ge2 0.0987 0.0987 0.7039
H1 0.0000 0.0000 0.0000
U1 0.5000 0.5000 0.5000

## Properties
Raw total energy, eV/cell: -21.291

---

UGeH | PBE-GGA | relaxed

a = 3.8073 Å, b = 3.8617 Å, c = 3.8617 Å
α = 120.00°, β = 90.00°, γ = 90.00°
Fractional coordinates of all 3 atoms:
Ge1 0.9999 0.0000 0.0000
U1 0.5000 0.6667 0.3333
H1 0.5001 0.3333 0.6667

## Properties
Energy above the most stable polymorph in this dataset, meV per atom: 232
Raw total energy, eV/cell: -19.589

---

Q: raw total energy of number 2 (TmGeH)?
A: -14.016 eV/cell